A relaxed structure of MnSi2P, computed with PBE.

Unit cell a=8.902 b=8.902 c=3.969 alpha=90.00 beta=90.00 gamma=156.35
Fractional positions:
Mn: 0.239 0.761 0.750
Mn: 0.761 0.239 0.250
Si: 0.034 0.966 0.250
Si: 0.167 0.833 0.250
Si: 0.833 0.167 0.750
Si: 0.966 0.034 0.750
P: 0.333 0.667 0.250
P: 0.667 0.333 0.750

Calculated values
Mass density: 3.74 g cm⁻³
Formation energy without anion corrections: 0.1 eV per formula unit
M_tot: 0.0 μB/cell
DFT total energy: -0.2323 Ha/atom

=====

A relaxed structure of MnSi2P, computed with PBE.

Unit cell a=4.309 b=4.309 c=4.164 alpha=95.43 beta=95.43 gamma=39.75
Fractional positions:
Mn: 0.000 0.000 0.000
Si: 0.265 0.265 0.766
Si: 0.735 0.735 0.234
P: 0.500 0.500 0.500

Calculated values
Mass density: 4.80 g cm⁻³
Formation energy without anion corrections: 0.6 eV per formula unit
M_tot: 0.0 μB/cell
DFT total energy: -0.2285 Ha/atom

=====

A relaxed structure of Mn3SiP, computed with PBE.

Unit cell a=4.108 b=4.108 c=4.108 alpha=90.00 beta=90.00 gamma=90.00
Fractional positions:
Mn: 0.000 0.000 0.500
Mn: 0.000 0.500 0.000
Mn: 0.500 0.000 0.000
Si: 0.500 0.500 0.500
P: 0.000 0.000 0.000

Calculated values
Mass density: 5.36 g cm⁻³
Formation energy without anion corrections: 2.0 eV per formula unit
M_tot: 3.9 μB/cell
DFT total energy: -0.2669 Ha/atom